Entry from Alexandria: an optimized crystal structure of LiRu (PBE-GGA).

a = 4.4657 Å, b = 4.4657 Å, c = 4.9508 Å
α = 95.43°, β = 95.43°, γ = 34.56°
With the nearest neighbours (Å) after each atom.
Fractional coordinates of all 4 atoms:
Li: 0.1218 0.1218 0.3990  5 Li 2.39-2.67
Li: 0.8782 0.8782 0.6010  5 Li 2.39-2.67
Ru: 0.3732 0.3732 0.0859  5 Ru 2.40-2.65
Ru: 0.6268 0.6268 0.9141  5 Ru 2.40-2.65

Summary:
**DFT total energy**: -10.92 eV/f.u.
**Symmetry**: No. 12
**Total magnetization**: 0.00 μB/f.u.
**Crystal system**: monoclinic
**Energy of formation from the pure elements**: 0.27 eV per formula unit

***

Entry from Alexandria: an optimized crystal structure of LiRu (PBE-GGA).

a = 8.4265 Å, b = 4.2000 Å, c = 5.9627 Å
α = 90.00°, β = 90.00°, γ = 90.00°
With the nearest neighbours (Å) after each atom.
Fractional coordinates of all 16 atoms:
Li: 0.1065 0.2500 0.0001  4 Ru 2.45-2.71, 4 Li 2.46-2.70
Li: 0.1313 0.7500 0.2397  4 Li 2.46-2.70, 4 Ru 2.54-2.63
Li: 0.3687 0.2500 0.7397  4 Li 2.46-2.70, 4 Ru 2.54-2.63
Li: 0.3935 0.7500 0.5001  4 Ru 2.45-2.71, 4 Li 2.46-2.70
Li: 0.6065 0.2500 0.4999  4 Ru 2.45-2.71, 4 Li 2.46-2.70
Li: 0.6313 0.7500 0.2603  4 Li 2.46-2.70, 4 Ru 2.54-2.63
Li: 0.8687 0.2500 0.7603  4 Li 2.46-2.70, 4 Ru 2.54-2.63
Li: 0.8935 0.7500 0.9999  4 Ru 2.45-2.71, 4 Li 2.46-2.70
Ru: 0.1183 0.2500 0.5040  4 Ru 2.49-2.72, 4 Li 2.54-2.63
Ru: 0.1554 0.7500 0.7363  4 Li 2.45-2.71, 4 Ru 2.49-2.72
Ru: 0.3446 0.2500 0.2363  4 Li 2.45-2.71, 4 Ru 2.49-2.72
Ru: 0.3817 0.7500 0.0040  4 Ru 2.49-2.72, 4 Li 2.54-2.63
Ru: 0.6183 0.2500 0.9960  4 Ru 2.49-2.72, 4 Li 2.54-2.63
Ru: 0.6554 0.7500 0.7637  4 Li 2.45-2.71, 4 Ru 2.49-2.72
Ru: 0.8446 0.2500 0.2637  4 Li 2.45-2.71, 4 Ru 2.49-2.72
Ru: 0.8817 0.7500 0.4960  4 Ru 2.49-2.72, 4 Li 2.54-2.63

Summary:
**DFT total energy**: -10.93 eV/f.u.
**Symmetry**: No. 62
**Total magnetization**: 0.00 μB/f.u.
**Crystal system**: orthorhombic
**Energy of formation from the pure elements**: 0.26 eV per formula unit

***

Entry from Alexandria: an optimized crystal structure of LiRu (PBE-GGA).

a = 6.6268 Å, b = 6.6268 Å, c = 6.6268 Å
α = 90.00°, β = 90.00°, γ = 90.00°
With the nearest neighbours (Å) after each atom.
Fractional coordinates of all 12 atoms:
Li: 0.0000 0.2500 0.5000  4 Ru 2.34
Li: 0.0000 0.7500 0.5000  4 Ru 2.34
Li: 0.2500 0.5000 0.0000  4 Ru 2.34
Li: 0.5000 0.0000 0.2500  4 Ru 2.34
Li: 0.5000 0.0000 0.7500  4 Ru 2.34
Li: 0.7500 0.5000 0.0000  4 Ru 2.34
Ru: 0.0000 0.5000 0.2500  4 Li 2.34
Ru: 0.0000 0.5000 0.7500  4 Li 2.34
Ru: 0.2500 0.0000 0.5000  4 Li 2.34
Ru: 0.5000 0.2500 0.0000  4 Li 2.34
Ru: 0.5000 0.7500 0.0000  4 Li 2.34
Ru: 0.7500 0.0000 0.5000  4 Li 2.34

Summary:
**DFT total energy**: -6.72 eV/f.u.
**Symmetry**: No. 223
**Total magnetization**: 2.11 μB/f.u.
**Crystal system**: cubic
**Energy of formation from the pure elements**: 4.47 eV per formula unit

***

Entry from Alexandria: an optimized crystal structure of Li2Ru (PBE-GGA).

a = 4.7243 Å, b = 4.7243 Å, c = 4.7243 Å
α = 150.40°, β = 126.64°, γ = 62.21°
With the nearest neighbours (Å) after each atom.
Fractional coordinates of all 3 atoms:
Li: 0.1633 0.1633 0.0000  3 Li 2.41-2.64
Li: 0.8367 0.8367 0.0000  3 Li 2.41-2.64
Ru: 0.5000 0.5000 0.0000  2 Ru 2.41

Summary:
**DFT total energy**: -12.39 eV/f.u.
**Symmetry**: No. 71
**Total magnetization**: 0.31 μB/f.u.
**Crystal system**: orthorhombic
**Energy of formation from the pure elements**: 0.72 eV per formula unit

***

Entry from Alexandria: an optimized crystal structure of Li2Ru (PBE-GGA).

a = 7.8222 Å, b = 7.8222 Å, c = 4.3226 Å
α = 90.00°, β = 90.00°, γ = 160.32°
With the nearest neighbours (Å) after each atom.
Fractional coordinates of all 6 atoms:
Li: 0.0660 0.9340 0.7500  8 Li 2.67-2.97, 2 Ru 2.82
Li: 0.3781 0.6219 0.7500  6 Li 2.67-2.68, 4 Ru 2.68-2.70
Li: 0.6219 0.3781 0.2500  6 Li 2.67-2.68, 4 Ru 2.68-2.70
Li: 0.9340 0.0660 0.2500  8 Li 2.67-2.97, 2 Ru 2.82
Ru: 0.2727 0.7273 0.2500  6 Ru 2.64-2.67, 6 Li 2.68-2.82
Ru: 0.7273 0.2727 0.7500  6 Ru 2.64-2.67, 6 Li 2.68-2.82

Summary:
**DFT total energy**: -12.76 eV/f.u.
**Symmetry**: No. 63
**Total magnetization**: 0.00 μB/f.u.
**Crystal system**: orthorhombic
**Energy of formation from the pure elements**: 0.34 eV per formula unit

***

Entry from Alexandria: an optimized crystal structure of Li3Ru (PBE-GGA).

a = 2.6900 Å, b = 2.6900 Å, c = 9.6587 Å
α = 90.00°, β = 90.00°, γ = 120.00°
With the nearest neighbours (Å) after each atom.
Fractional coordinates of all 4 atoms:
Li: 0.0000 0.0000 0.0000  6 Li 2.69
Li: 0.3333 0.6667 0.2726  3 Ru 2.69, 6 Li 2.69
Li: 0.3333 0.6667 0.7274  3 Ru 2.69, 6 Li 2.69
Ru: 0.0000 0.0000 0.5000  6 Li 2.69, 6 Ru 2.69

Summary:
**DFT total energy**: -14.59 eV/f.u.
**Symmetry**: No. 187
**Total magnetization**: 0.00 μB/f.u.
**Crystal system**: hexagonal
**Energy of formation from the pure elements**: 0.42 eV per formula unit

***

Entry from Alexandria: an optimized crystal structure of Li3Ru (PBE-GGA).

a = 2.5789 Å, b = 2.5789 Å, c = 9.2398 Å
α = 90.00°, β = 90.00°, γ = 90.00°
With the nearest neighbours (Å) after each atom.
Fractional coordinates of all 4 atoms:
Li: 0.0000 0.0000 0.0000  4 Li 2.58
Li: 0.5000 0.5000 0.2765  4 Li 2.58, 4 Ru 2.76
Li: 0.5000 0.5000 0.7235  4 Li 2.58, 4 Ru 2.76
Ru: 0.0000 0.0000 0.5000  4 Ru 2.58, 8 Li 2.76

Summary:
**DFT total energy**: -14.40 eV/f.u.
**Symmetry**: No. 123
**Total magnetization**: 0.52 μB/f.u.
**Crystal system**: tetragonal
**Energy of formation from the pure elements**: 0.62 eV per formula unit

***

Entry from Alexandria: an optimized crystal structure of Li4Ru5 (PBE-GGA).

a = 7.6028 Å, b = 7.6028 Å, c = 5.1070 Å
α = 90.00°, β = 90.00°, γ = 120.00°
With the nearest neighbours (Å) after each atom.
Fractional coordinates of all 18 atoms:
Li: 0.0000 0.0000 0.0000  8 Li 2.45-2.55
Li: 0.0000 0.0000 0.5000  8 Li 2.45-2.55
Li: 0.0000 0.2750 0.2500  1 Ru 2.36, 2 Li 2.45
Li: 0.0000 0.7250 0.7500  1 Ru 2.36, 2 Li 2.45
Li: 0.2750 0.0000 0.2500  1 Ru 2.36, 2 Li 2.45
Li: 0.2750 0.2750 0.7500  1 Ru 2.36, 2 Li 2.45
Li: 0.7250 0.0000 0.7500  1 Ru 2.36, 2 Li 2.45
Li: 0.7250 0.7250 0.2500  1 Ru 2.36, 2 Li 2.45
Ru: 0.0000 0.4140 0.7500  1 Li 2.36, 4 Ru 2.62
Ru: 0.0000 0.5860 0.2500  1 Li 2.36, 4 Ru 2.62
Ru: 0.3333 0.6667 0.0000  8 Ru 2.55-2.62
Ru: 0.3333 0.6667 0.5000  8 Ru 2.55-2.62
Ru: 0.4140 0.0000 0.7500  1 Li 2.36, 4 Ru 2.62
Ru: 0.4140 0.4140 0.2500  1 Li 2.36, 4 Ru 2.62
Ru: 0.5860 0.0000 0.2500  1 Li 2.36, 4 Ru 2.62
Ru: 0.5860 0.5860 0.7500  1 Li 2.36, 4 Ru 2.62
Ru: 0.6667 0.3333 0.0000  8 Ru 2.55-2.62
Ru: 0.6667 0.3333 0.5000  8 Ru 2.55-2.62

Summary:
**DFT total energy**: -50.21 eV/f.u.
**Symmetry**: No. 193
**Total magnetization**: 2.12 μB/f.u.
**Crystal system**: hexagonal
**E above lowest polymorph**: 1.62 eV per formula unit
**Energy of formation from the pure elements**: 3.83 eV per formula unit